No. 1
# Gd3Al3GeIr2

Crystalline Gd3Al3GeIr2 at its relaxed geometry (PBE-GGA, the Open Quantum Materials Database).

* uncorrected energy: -6.003 eV/atom
* magnetization: 0.01 μB per cell
* SG: P-62m, No. 189

a b c (Å): 7.2835 7.2835 3.9938
angles (deg): 90.00 90.00 120.00
With the nearest neighbours (Å) after each atom.
Fractional coordinates of all 9 atoms:
Al: 0.0000 0.2703 0.5000  2 Ir 2.69, 2 Ge 2.80
Al: 0.2703 0.0000 0.5000  2 Ir 2.69, 2 Ge 2.80
Gd: 0.0000 0.5952 0.0000  1 Ge 2.95, 4 Ir 2.98, 6 Al 3.10-3.28
Al: 0.7297 0.7297 0.5000  2 Ir 2.69, 2 Ge 2.80
Ir: 0.3333 0.6667 0.5000  3 Al 2.69, 6 Gd 2.98
Ge: 0.0000 0.0000 0.0000  6 Al 2.80, 3 Gd 2.95
Ir: 0.6667 0.3333 0.5000  3 Al 2.69, 6 Gd 2.98
Gd: 0.4048 0.4048 0.0000  1 Ge 2.95, 4 Ir 2.98, 6 Al 3.10-3.28
Gd: 0.5952 0.0000 0.0000  1 Ge 2.95, 4 Ir 2.98, 6 Al 3.10-3.28



No. 2
# SiSnMo4N2

Crystalline SiSnMo4N2 at its relaxed geometry (PBE-GGA, the Open Quantum Materials Database).

* uncorrected energy: -8.762 eV/atom
* magnetization: 0.00 μB per cell
* SG: P-6m2, No. 187

a b c (Å): 3.2787 3.2787 12.1389
angles (deg): 90.00 90.00 120.00
With the nearest neighbours (Å) after each atom.
Fractional coordinates of all 8 atoms:
N: 0.0000 0.0000 0.2513  3 Mo 2.03
Mo: 0.6667 0.3333 0.6417  3 N 2.30, 3 Si 2.56
Mo: 0.3333 0.6667 0.8093  3 N 2.03
N: 0.0000 0.0000 0.7487  3 Mo 2.03
Mo: 0.3333 0.6667 0.1907  3 N 2.03
Si: 0.3333 0.6667 0.5000  6 Mo 2.56
Sn: 0.6667 0.3333 0.0000  6 Mo 2.99, 6 Sn 3.28
Mo: 0.6667 0.3333 0.3583  3 N 2.30, 3 Si 2.56